(1)
GGA-PBE ScTi2Pd3, optimized geometry; formation energy = -57.9 kJ/mol of atoms
1.0
4.4305 0.0000 0.0173
2.2152 6.6260 0.0087
-0.0269 0.0000 6.8397
Ti Pd Sc
4 6 2
direct
0.3288 0.3425 0.5000
0.0000 0.0000 0.5000
0.0000 0.0000 0.0000
0.6712 0.6575 0.5000
0.5000 0.0000 0.7217
0.8393 0.3214 0.7374
0.1607 0.6786 0.7374
0.1607 0.6786 0.2626
0.8393 0.3214 0.2626
0.5000 0.0000 0.2783
0.6610 0.6780 0.0000
0.3390 0.3220 0.0000

***

(2)
GGA-PBE FePC3, optimized geometry; formation energy = 31.1 kJ/mol of atoms
1.0
-4.8580 -3.5819 1.4241
1.2689 -0.9560 1.9243
-1.8744 5.4409 3.9390
C Fe P
6 2 2
direct
0.5241 0.5000 0.8821
0.4139 0.5000 0.3504
0.4139 0.0000 0.8504
0.1933 0.5000 0.2742
0.1933 0.0000 0.7742
0.5241 0.0000 0.3821
0.9878 0.5000 0.6816
0.9878 0.0000 0.1816
0.8129 0.5000 0.9399
0.8129 0.0000 0.4399

***

(3)
GGA-PBE NaH2IO2, optimized geometry; VASP energy = -0.1395 Ha/atom
1.0
-3.3483 -3.1711 -1.1501
1.8064 -3.1386 3.3948
-5.7604 4.8503 3.3972
H I Na O
4 2 2 4
direct
0.2500 0.7405 0.7293
0.2500 0.2485 0.2713
0.7500 0.7515 0.7287
0.7500 0.2595 0.2707
0.7500 0.2529 0.7290
0.2500 0.7471 0.2710
0.2500 0.1618 0.9682
0.7500 0.8382 0.0318
0.0031 0.2313 0.2384
0.9969 0.7687 0.7616
0.4969 0.2313 0.2384
0.5031 0.7687 0.7616

***

(4)
GGA-PBE Mn2CdPt, optimized geometry; formation energy = 0.9 kJ/mol of atoms
1.0
-4.8647 -0.7735 -0.2749
-3.9799 -1.7882 2.3027
-1.6740 3.9644 2.1352
Pt Mn Cd
1 2 1
direct
0.5055 0.5055 0.4774
0.9964 0.9964 0.9999
0.2457 0.2457 0.2631
0.7524 0.7524 0.7597

***

(5)
GGA-PBE TmUFe, optimized geometry; formation energy = 5.9 kJ/mol of atoms
1.0
-1.1408 0.3503 3.0937
-1.8507 -2.7259 -0.3738
5.5833 -1.8410 0.4902
Fe U Tm
1 1 1
direct
0.2936 0.2936 0.5872
0.7070 0.7070 0.4140
0.9994 0.9994 0.9988

***

(6)
GGA-PBE GdTmMnCu, optimized geometry; formation energy = 2.0 kJ/mol of atoms
1.0
4.9351 0.0000 0.0000
2.4675 4.2739 0.0000
2.4675 1.4246 4.0295
Tm Mn Cu Gd
1 1 1 1
direct
0.5000 0.5000 0.5000
0.7500 0.7500 0.7500
0.2500 0.2500 0.2500
0.0000 0.0000 0.0000

***

(7)
GGA-PBE Sc2SiPd, optimized geometry; raw formation energy = -0.35 eV/f.u.
1.0
-1.3948 -2.3846 -3.1344
-2.3242 -2.1860 2.6973
-8.8568 3.5339 -1.5320
Si Sc Pd
2 4 2
direct
0.5000 0.5000 0.0000
0.2500 0.7500 0.5000
0.8750 0.8619 0.7500
0.1381 0.6250 0.2500
0.3750 0.3881 0.7500
0.6119 0.1250 0.2500
0.7500 0.2500 0.5000
0.0000 0.0000 0.0000

***

(8)
GGA-PBE ScZn2Os, optimized geometry; formation energy = -6.7 kJ/mol of atoms
1.0
-2.6606 -2.8366 -1.0289
2.2336 -1.7931 -0.8325
1.3416 -2.8830 4.4792
Zn Os Sc
2 1 1
direct
0.0000 0.1835 0.0072
0.5000 0.0573 0.2614
0.0000 0.4488 0.4793
0.5000 0.8104 0.7521

***

(9)
GGA-PBE Nd5Sm8Tl, optimized geometry; formation energy = 12.7 kJ/mol of atoms
1.0
-7.6779 1.8272 -3.6857
4.5986 -3.5258 -6.5046
0.7793 -5.8181 6.4355
Sm Tl Nd
8 1 5
direct
0.0314 0.0836 0.5487
0.4651 0.9164 0.9478
0.0522 0.5173 0.9686
0.0800 0.6589 0.4192
0.5790 0.3392 0.9200
0.7602 0.3411 0.4210
0.4513 0.4827 0.5349
0.5808 0.6608 0.2398
0.2500 0.5000 0.7500
0.9059 0.8011 0.7172
0.9161 0.1989 0.1048
0.8952 0.8113 0.0941
0.2828 0.1887 0.0839
0.5000 0.0000 0.5000

***

(10)
GGA-PBE TaVSb2, optimized geometry; raw formation energy = 3.29 eV/f.u.
1.0
-3.6176 -4.0272 -3.5418
5.0015 -4.0755 -0.4745
-1.0887 -6.8141 2.9519
Sb V Ta
4 2 2
direct
0.8750 0.8763 0.7500
0.3750 0.3737 0.7500
0.1237 0.6250 0.2500
0.6263 0.1250 0.2500
0.5000 0.5000 0.0000
0.2500 0.7500 0.5000
0.7500 0.2500 0.5000
0.0000 0.0000 0.0000

***

(11)
GGA-PBE ZnIn2Re, optimized geometry; formation energy = 40.5 kJ/mol of atoms
1.0
5.1895 0.0003 0.0000
1.9561 4.8067 0.0000
-3.5728 -2.4035 2.8964
Zn Re In
1 1 2
direct
0.7500 0.2500 0.5000
0.2500 0.7500 0.5000
0.0000 0.0000 0.0000
0.5000 0.5000 0.0000

***

(12)
GGA-PBE K2PaB2S6, optimized geometry; raw formation energy = -10.64 eV/f.u.
1.0
-0.0002 -0.0214 6.7360
-5.7385 -0.5758 -3.3701
4.6545 -6.7520 -0.0213
K S B Pa
2 6 2 1
direct
0.7040 0.4080 0.1864
0.2960 0.5920 0.8136
0.7380 0.9390 0.2305
0.2620 0.0610 0.7695
0.2397 0.4794 0.3663
0.7990 0.0610 0.7695
0.7603 0.5206 0.6337
0.2010 0.9390 0.2305
0.0629 0.1258 0.2834
0.9371 0.8742 0.7166
0.5000 0.0000 0.5000